No. 1
VASP calculation (PBE) on a geometry-optimized Zn2FeCuH structure.

a = 4.004 Å, b = 4.004 Å, c = 3.396 Å
α = 90.00°, β = 90.00°, γ = 90.00°
Space group P4/mmm (No. 123)
Unique sites:
Zn (0.000, 0.500, 0.000) [2 per cell]
Fe (0.000, 0.000, 0.500) [1 per cell]
Cu (0.500, 0.500, 0.500) [1 per cell]
H (0.000, 0.000, 0.000) [1 per cell]

Output
Electronic total energy ... -17.82 eV per cell
D(E_F) ... 0.448 states/eV per atom
Calculated density ... 7.66 Mg/m³


No. 2
VASP calculation (PBE) on a geometry-optimized Pr3BiSeN structure.

a = 9.086 Å, b = 4.314 Å, c = 9.602 Å
α = 90.00°, β = 100.64°, γ = 90.00°
Space group P2_1/m (No. 11)
Unique sites:
Pr (0.085, 0.250, 0.348) [2 per cell]
Pr (0.342, 0.250, 0.986) [2 per cell]
Pr (0.394, 0.750, 0.661) [2 per cell]
Bi (0.324, 0.750, 0.285) [2 per cell]
Se (0.152, 0.250, 0.661) [2 per cell]
N (0.410, 0.750, 0.900) [2 per cell]

Output
Electronic total energy ... -75.50 eV per cell
D(E_F) ... 0.444 states/eV per atom
Energy relative to the elements, uncorrected ... -1287 meV/atom
Calculated density ... 6.51 Mg/m³


No. 3
VASP calculation (PBE) on a geometry-optimized GaPdPt2 structure.

a = 4.577 Å, b = 9.886 Å, c = 5.616 Å
α = 90.00°, β = 90.00°, γ = 90.00°
Space group Cmcm (No. 63)
Unique sites:
Ga (0.000, 0.152, 0.250) [4 per cell]
Pd (0.000, 0.098, 0.750) [4 per cell]
Pt (0.000, 0.361, 0.509) [8 per cell]

Output
Electronic total energy ... -86.48 eV per cell
D(E_F) ... 0.561 states/eV per atom
Calculated density ... 14.80 Mg/m³
E_form ... -0.330 eV per atom


No. 4
VASP calculation (PBE) on a geometry-optimized CaBeSnI2 structure.

a = 5.971 Å, b = 5.971 Å, c = 6.454 Å
α = 90.00°, β = 90.00°, γ = 90.00°
Space group P4/mmm (No. 123)
Unique sites:
Ca (0.000, 0.000, 0.000) [1 per cell]
Be (0.500, 0.500, 0.500) [1 per cell]
Sn (0.000, 0.000, 0.500) [1 per cell]
I (0.000, 0.500, 0.000) [2 per cell]

Output
Electronic total energy ... -11.09 eV per cell
D(E_F) ... 0.961 states/eV per atom
Energy relative to the elements, uncorrected ... 347 meV/atom
Calculated density ... 3.04 Mg/m³


No. 5
VASP calculation (PBE) on a geometry-optimized K3Os2O9 structure.

a = 10.4656 Å, b = 10.4656 Å, c = 14.0884 Å
α = 90.00°, β = 90.00°, γ = 120.00°
Space group R-3c (No. 167, hexagonal axes)
Unique sites:
K (0.0000, 0.3269, 0.2500) [18 per cell]
Os (0.0000, 0.0000, 0.1460) [12 per cell]
O (0.0000, 0.1357, 0.7500) [18 per cell]
O (0.9999, 0.1524, 0.0902) [36 per cell]

Output
Electronic total energy ... -532.32 eV per cell
D(E_F) ... 0.444 states/eV per atom
Energy relative to the elements, uncorrected ... -1310 meV/atom
Calculated density ... 4.78 Mg/m³


No. 6
VASP calculation (PBE) on a geometry-optimized Pr6NdSm4 structure.

a = 6.670 Å, b = 6.670 Å, c = 17.870 Å
α = 90.00°, β = 90.00°, γ = 90.00°
Space group I-42m (No. 121)
Unique sites:
Pr (0.000, 0.500, 0.000) [4 per cell]
Pr (0.179, 0.179, 0.368) [8 per cell]
Nd (0.000, 0.000, 0.000) [2 per cell]
Sm (0.188, 0.188, 0.179) [8 per cell]

Output
Electronic total energy ... -98.51 eV per cell
D(E_F) ... 1.673 states/eV per atom
Calculated density ... 6.65 Mg/m³
Excess energy over the best structure of this formula in the dataset ... 0.000 eV per atom
E_form ... 0.279 eV per atom


No. 7
VASP calculation (PBE) on a geometry-optimized RbAgBr3 structure.

a = 5.315 Å, b = 5.315 Å, c = 8.965 Å
α = 90.00°, β = 90.00°, γ = 90.00°
Space group P4mm (No. 99)
Unique sites:
Rb (0.000, 0.000, 0.000) [1 per cell]
Ag (0.500, 0.500, 0.277) [1 per cell]
Br (0.000, 0.000, 0.637) [1 per cell]
Br (0.000, 0.500, 0.242) [2 per cell]

Output
Electronic total energy ... -11.85 eV per cell
D(E_F) ... 2.890 states/eV per atom
Energy relative to the elements, uncorrected ... -603 meV/atom
Calculated density ... 2.84 Mg/m³


No. 8
VASP calculation (PBE) on a geometry-optimized HfMg2Co9 structure.

a = 4.7869 Å, b = 4.7869 Å, c = 23.6306 Å
α = 90.00°, β = 90.00°, γ = 120.00°
Space group R-3m (No. 166, hexagonal axes)
Unique sites:
Hf (0.0000, 0.0000, 0.0000) [3 per cell]
Mg (0.0000, 0.0000, 0.1430) [6 per cell]
Co (0.0000, 0.0000, 0.3354) [6 per cell]
Co (0.0000, 0.0000, 0.5000) [3 per cell]
Co (0.0057, 0.5029, 0.9165) [18 per cell]

Output
Electronic total energy ... -234.26 eV per cell
D(E_F) ... 1.209 states/eV per atom
Calculated density ... 8.05 Mg/m³
E_form ... -0.083 eV per atom


No. 9
VASP calculation (PBE) on a geometry-optimized CeCdCu structure.

a = 7.4419 Å, b = 7.4419 Å, c = 4.1536 Å
α = 90.00°, β = 90.00°, γ = 120.00°
Space group P-62m (No. 189)
Unique sites:
Ce (0.0000, 0.5830, 0.0000) [3 per cell]
Cd (0.0000, 0.2449, 0.5000) [3 per cell]
Cu (0.0000, 0.0000, 0.0000) [1 per cell]
Cu (0.3333, 0.6667, 0.5000) [2 per cell]

Output
Electronic total energy ... -34.37 eV per cell
D(E_F) ... 2.167 states/eV per atom
Calculated density ... 7.90 Mg/m³
Excess energy over the best structure of this formula in the dataset ... 0.000 eV per atom
E_form ... -0.170 eV per atom


No. 10
VASP calculation (PBE) on a geometry-optimized KMgSe structure.

a = 4.305 Å, b = 4.969 Å, c = 11.475 Å
α = 90.17°, β = 90.01°, γ = 90.02°
Space group P1 (No. 1)
Unique sites:
K (0.000, 0.000, 0.000) [1 per cell]
K (0.500, 0.496, 0.700) [1 per cell]
Mg (0.004, 0.990, 0.376) [1 per cell]
Mg (0.504, 0.490, 0.323) [1 per cell]
Se (0.004, 0.491, 0.463) [1 per cell]
Se (0.503, 0.989, 0.236) [1 per cell]

Output
Electronic total energy ... -16.94 eV per cell
D(E_F) ... 0.428 states/eV per atom
Energy relative to the elements, uncorrected ... -765 meV/atom
Calculated density ... 1.93 Mg/m³
Excess energy over the best structure of this formula in the dataset ... 0.187 eV per atom


No. 11
VASP calculation (PBE) on a geometry-optimized AcPmIr2 structure.

a = 3.576 Å, b = 3.576 Å, c = 7.402 Å
α = 90.00°, β = 90.00°, γ = 90.00°
Space group P4/mmm (No. 123)
Unique sites:
Ac (0.000, 0.000, 0.000) [1 per cell]
Pm (0.000, 0.000, 0.500) [1 per cell]
Ir (0.500, 0.500, 0.269) [2 per cell]

Output
Electronic total energy ... -28.51 eV per cell
D(E_F) ... 0.720 states/eV per atom
Calculated density ... 13.27 Mg/m³
Excess energy over the best structure of this formula in the dataset ... 0.117 eV per atom
E_form ... -0.482 eV per atom


No. 12
VASP calculation (PBE) on a geometry-optimized La2ZnGa2 structure.

a = 7.198 Å, b = 7.198 Å, c = 4.817 Å
α = 90.00°, β = 90.00°, γ = 90.00°
Space group P4/mbm (No. 127)
Unique sites:
La (0.173, 0.327, 0.000) [4 per cell]
Zn (0.000, 0.000, 0.500) [2 per cell]
Ga (0.133, 0.633, 0.500) [4 per cell]

Output
Electronic total energy ... -39.12 eV per cell
D(E_F) ... 0.575 states/eV per atom
Calculated density ... 6.42 Mg/m³
Excess energy over the best structure of this formula in the dataset ... 0.090 eV per atom
E_form ... -0.475 eV per atom


no.,volume (Å³/cell)
1,54.5
2,369.9
3,254.1
4,230.1
5,1336.4
6,794.9
7,253.3
8,468.9
9,199.2
10,245.4
11,94.7
12,249.5